Material: IrW4Cl
Method: DFT, PBEsol
State: optimized geometry

abc: 5.213 5.213 5.213
angles: 60.00 60.00 60.00
Fractional positions:
1 W 0.624 0.624 0.127
2 W 0.127 0.624 0.624
3 W 0.624 0.624 0.624
4 W 0.624 0.127 0.624
5 Ir 0.000 0.000 0.000
6 Cl 0.250 0.250 0.250

- Uncorrected formation energy: 1109 meV/atom
- Magnetic moment: 0.0 μB/cell
- Crystal system: cubic
- Volume: 16.69 A^3/atom